Entry 1:
The following is a PBE calculation of a relaxed NdDy2ErTm2 crystal, from Alexandria.

Computed properties:
**Space group**: No. 58
**Formation enthalpy at 0 K**: 0.28 eV per atom

abc: 3.3787 6.5426 17.5457
angles: 90.00 90.00 90.00
Last column: nearest neighbours and their distance in Å.
Fractional positions:
Nd: 0.0000 0.0000 0.0000  2 Dy 3.19, 2 Nd 3.38, 2 Tm 3.53
Nd: 0.5000 0.5000 0.5000  2 Dy 3.19, 2 Nd 3.38, 2 Tm 3.53
Dy: 0.5000 0.7765 0.3500  1 Nd 3.19, 4 Tm 3.30-3.39, 2 Dy 3.38, 2 Er 3.45
Dy: 0.5000 0.2235 0.6500  1 Nd 3.19, 4 Tm 3.30-3.39, 2 Dy 3.38, 2 Er 3.45
Dy: 0.0000 0.7235 0.8500  1 Nd 3.19, 4 Tm 3.30-3.39, 2 Dy 3.38, 2 Er 3.45
Dy: 0.0000 0.2765 0.1500  1 Nd 3.19, 4 Tm 3.30-3.39, 2 Dy 3.38, 2 Er 3.45
Er: 0.5000 0.5000 0.0000  2 Er 3.38, 4 Dy 3.45, 4 Nd 3.68
Er: 0.0000 0.0000 0.5000  2 Er 3.38, 4 Dy 3.45, 4 Nd 3.68
Tm: 0.5000 0.2729 0.3175  4 Dy 3.30-3.39, 2 Tm 3.38, 1 Nd 3.53
Tm: 0.0000 0.7729 0.1825  4 Dy 3.30-3.39, 2 Tm 3.38, 1 Nd 3.53
Tm: 0.5000 0.7271 0.6825  4 Dy 3.30-3.39, 2 Tm 3.38, 1 Nd 3.53
Tm: 0.0000 0.2271 0.8175  4 Dy 3.30-3.39, 2 Tm 3.38, 1 Nd 3.53

=====

Entry 2:
The following is a PBE calculation of a relaxed Li2AcIn2 crystal, from Alexandria.

Computed properties:
**Space group**: No. 12
**Formation enthalpy at 0 K**: -0.30 eV per atom

abc: 4.8794 4.8794 6.4531
angles: 112.68 112.68 90.03
Last column: nearest neighbours and their distance in Å.
Fractional positions:
Li: 0.7505 0.2495 0.0000  4 In 2.76-2.77
Li: 0.2495 0.7505 0.0000  4 In 2.76-2.77
Ac: 0.0000 0.0000 0.5000  8 Li 3.63-3.66, 10 In 3.69-4.00
In: 0.6273 0.6273 0.7595  4 Li 2.76-2.77, 1 In 2.81
In: 0.3727 0.3727 0.2405  4 Li 2.76-2.77, 1 In 2.81

=====

Entry 3:
The following is a PBE calculation of a relaxed ReIBr2 crystal, from Alexandria.

Computed properties:
**Energy relative to the elements, uncorrected**: 1.8 eV/f.u.
**Space group**: No. 166

abc: 11.1381 11.1381 11.1381
angles: 18.70 18.70 18.70
Last column: nearest neighbours and their distance in Å.
Fractional positions:
I: 0.0000 0.0000 0.0000  6 I 3.62, 2 Br 3.96
Re: 0.5000 0.5000 0.5000  6 Br 2.58
Br: 0.8794 0.8794 0.8794  3 Re 2.58
Br: 0.1206 0.1206 0.1206  3 Re 2.58

=====

Entry 4:
The following is a PBE calculation of a relaxed NdTlBr4 crystal, from Alexandria.

Computed properties:
**Energy relative to the elements, uncorrected**: -9.3 eV/f.u.
**Space group**: No. 15

abc: 7.4237 8.6810 11.4912
angles: 120.83 118.73 65.33
Last column: nearest neighbours and their distance in Å.
Fractional positions:
Nd: 0.3187 0.0687 0.1375  6 Br 2.84-2.99
Nd: 0.6813 0.9313 0.8625  6 Br 2.84-2.99
Tl: 0.4372 0.6872 0.3744  6 Br 3.26-3.54
Tl: 0.5628 0.3128 0.6256  6 Br 3.26-3.54
Br: 0.9288 0.1541 0.9032  2 Nd 2.92-2.99
Br: 0.8048 0.5911 0.6488  1 Nd 2.84
Br: 0.4744 0.7492 0.9032  2 Nd 2.92-2.99
Br: 0.3440 0.0577 0.6488  1 Nd 2.84
Br: 0.6560 0.9423 0.3512  1 Nd 2.84
Br: 0.5256 0.2508 0.0968  2 Nd 2.92-2.99
Br: 0.1952 0.4089 0.3512  1 Nd 2.84
Br: 0.0712 0.8459 0.0968  2 Nd 2.92-2.99

=====

Entry 5:
The following is a PBE calculation of a relaxed Th5SnSe5 crystal, from Alexandria.

Computed properties:
**Energy relative to the elements, uncorrected**: -15.2 eV/f.u.
**Space group**: No. 12

abc: 6.0249 7.3428 8.4613
angles: 106.31 90.00 114.22
Last column: nearest neighbours and their distance in Å.
Fractional positions:
Th: 0.8286 0.6572 0.1757  5 Se 2.99-3.09, 1 Sn 3.10
Th: 0.8314 0.6627 0.6551  5 Se 2.94-3.02, 1 Sn 3.09
Th: 0.5000 0.0000 0.0000  4 Se 2.98-3.00, 2 Sn 3.01
Th: 0.1686 0.3373 0.3449  5 Se 2.94-3.02, 1 Sn 3.09
Th: 0.1714 0.3428 0.8243  5 Se 2.99-3.09, 1 Sn 3.10
Sn: 0.0000 0.0000 0.0000  6 Th 3.01-3.10
Se: 0.6543 0.3086 0.3404  5 Th 2.97-3.06
Se: 0.6649 0.3299 0.8269  5 Th 3.00-3.09
Se: 0.0000 0.0000 0.5000  4 Th 2.94-2.99
Se: 0.3351 0.6701 0.1731  5 Th 3.00-3.09
Se: 0.3457 0.6914 0.6596  5 Th 2.97-3.06

=====

Entry 6:
The following is a PBE calculation of a relaxed AgH2W crystal, from Alexandria.

Computed properties:
**Space group**: No. 225
**Calculated total energy**: -4.482 eV/atom

abc: 3.8576 3.8576 3.8576
angles: 60.00 60.00 60.00
Last column: nearest neighbours and their distance in Å.
Fractional positions:
H: 0.2500 0.2500 0.2500  4 W 2.36, 4 Ag 2.36
H: 0.7500 0.7500 0.7500  4 W 2.36, 4 Ag 2.36
Ag: 0.0000 0.0000 0.0000  8 H 2.36
W: 0.5000 0.5000 0.5000  8 H 2.36

=====

| no. | calculated volume (Å³/cell) | Fermi-level density of states (states/eV/cell) |
| --- | --- | --- |
| 1 | 387.9 | 18.62 |
| 2 | 128.8 | 3.61 |
| 3 | 124.1 | 2.67 |
| 4 | 543.1 | 0.00 |
| 5 | 324.8 | 8.97 |
| 6 | 40.6 | 2.03 |